1.
Computed, not measured: crystalline Ga2BiRuO8 at its relaxed geometry at the PBE-GGA level of DFT.

Results
- formation energy (no corrections) (eV per formula unit) = -14.7
- DFT total energy (eV/atom) = -6.127

CIF file:
```
data_Ga2BiRuO8
_space_group_name_H-M_alt 'C m m m'
_space_group_IT_number 65
_space_group_name_Hall '-C 2 2'
_cell_length_a 6.572
_cell_length_b 6.640
_cell_length_c 6.370
_cell_angle_alpha 90.00
_cell_angle_beta 90.00
_cell_angle_gamma 90.00
loop_
_atom_site_label
_atom_site_type_symbol
_atom_site_fract_x
_atom_site_fract_y
_atom_site_fract_z
Ga1 Ga 0.000 0.000 0.246
Bi1 Bi 0.000 0.500 0.500
Ru1 Ru 0.000 0.500 0.000
O1 O 0.000 0.300 0.227
O2 O 0.178 0.000 0.500
O3 O 0.204 0.000 0.000
```

***

2.
Computed, not measured: crystalline UBe4Pt8 at its relaxed geometry at the PBE-GGA level of DFT.

Results
- calculated formation energy (eV/atom) = -0.6236
- DFT total energy (eV/atom) = -6.356

CIF file:
```
data_UBe4Pt8
_space_group_name_H-M_alt 'I 4/m m m'
_space_group_IT_number 139
_space_group_name_Hall '-I 4 2'
_cell_length_a 8.423
_cell_length_b 8.423
_cell_length_c 5.248
_cell_angle_alpha 90.00
_cell_angle_beta 90.00
_cell_angle_gamma 90.00
loop_
_atom_site_label
_atom_site_type_symbol
_atom_site_fract_x
_atom_site_fract_y
_atom_site_fract_z
U1 U 0.000 0.000 0.000
Be1 Be 0.250 0.250 0.250
Pt1 Pt 0.000 0.227 0.500
Pt2 Pt 0.000 0.325 0.000
```

***

3.
Computed, not measured: crystalline CuAu8 at its relaxed geometry at the PBE-GGA level of DFT.

Results
- distance to the lowest polymorph of the same formula (meV per atom) = 0
- calculated formation energy (eV/atom) = -0.0006
- DFT total energy (eV/atom) = -3.369

CIF file:
```
data_CuAu8
_space_group_name_H-M_alt 'I 4/m m m'
_space_group_IT_number 139
_space_group_name_Hall '-I 4 2'
_cell_length_a 8.961
_cell_length_b 8.961
_cell_length_c 3.938
_cell_angle_alpha 90.00
_cell_angle_beta 90.00
_cell_angle_gamma 90.00
loop_
_atom_site_label
_atom_site_type_symbol
_atom_site_fract_x
_atom_site_fract_y
_atom_site_fract_z
Cu1 Cu 0.000 0.000 0.000
Au1 Au 0.000 0.330 0.000
Au2 Au 0.161 0.161 0.500
```

***

4.
Computed, not measured: crystalline Rb3LiBi4 at its relaxed geometry at the PBE-GGA level of DFT.

Results
- calculated formation energy (eV/atom) = -0.2113
- DFT total energy (eV/atom) = -2.754

CIF file:
```
data_Rb3LiBi4
_space_group_name_H-M_alt 'P m m n'
_space_group_IT_number 59
_cell_length_a 7.098
_cell_length_b 13.607
_cell_length_c 7.070
_cell_angle_alpha 90.00
_cell_angle_beta 90.00
_cell_angle_gamma 90.00
loop_
_space_group_symop_operation_xyz
'x,y,z'
'-x,-y,-z'
'-x+1/2,-y+1/2,z'
'x+1/2,y+1/2,-z'
'x+1/2,-y,-z'
'-x+1/2,y,z'
'-x,y+1/2,-z'
'x,-y+1/2,z'
loop_
_atom_site_label
_atom_site_type_symbol
_atom_site_fract_x
_atom_site_fract_y
_atom_site_fract_z
Rb1 Rb 0.250 0.002 0.177
Rb2 Rb 0.250 0.750 0.504
Li1 Li 0.250 0.250 0.325
Bi1 Bi 0.025 0.750 0.002
Bi2 Bi 0.250 0.135 0.680
```